Model i:
First-principles (PBE-GGA) data for a geometry-optimized Ho5Er4In structure, as listed in Alexandria.

D(E_F)	13.61	states/eV/cell
calculated volume	317	Å³/cell

Lattice parameters (Å, degrees): 5.7452 7.9652 7.9652 82.53 68.86 68.86
With the nearest neighbours (Å) after each atom.
Sites, in units of the cell vectors:
1 Ho 0.1412 0.6283 0.0000  1 In 3.06, 1 Ho 3.21, 2 Er 3.30
2 Ho 0.7694 0.3717 0.0000  1 In 3.06, 1 Ho 3.21, 2 Er 3.30
3 Ho 0.7694 0.0000 0.3717  1 In 3.06, 1 Ho 3.21, 2 Er 3.30
4 Ho 0.6689 0.0000 0.0000  2 In 2.77-2.97
5 Ho 0.1412 0.0000 0.6283  1 In 3.06, 1 Ho 3.21, 2 Er 3.30
6 Er 0.1417 0.3166 0.3166  3 Ho 3.30-3.54, 1 In 3.67
7 Er 0.4584 0.3166 0.6834  3 Ho 3.30-3.54, 1 In 3.67
8 Er 0.4584 0.6834 0.3166  3 Ho 3.30-3.54, 1 In 3.67
9 Er 0.7750 0.6834 0.6834  3 Ho 3.30-3.54, 1 In 3.67
10 In 0.1866 0.0000 0.0000  6 Ho 2.77-3.06

Model ii:
First-principles (PBE-GGA) data for a geometry-optimized Ho5Er4In structure, as listed in Alexandria.

D(E_F)	12.96	states/eV/cell
calculated volume	300	Å³/cell

Lattice parameters (Å, degrees): 3.5173 3.5173 24.2386 90.00 90.00 90.00
With the nearest neighbours (Å) after each atom.
Sites, in units of the cell vectors:
1 Ho 0.5000 0.5000 0.0880  4 In 3.28, 4 Ho 3.52, 4 Er 3.53
2 Ho 0.5000 0.5000 0.9120  4 In 3.28, 4 Ho 3.52, 4 Er 3.53
3 Ho 0.5000 0.5000 0.7057  4 Ho 3.52, 8 Er 3.52-3.53
4 Ho 0.5000 0.5000 0.2943  4 Ho 3.52, 8 Er 3.52-3.53
5 Ho 0.5000 0.5000 0.5000  4 Ho 3.52, 8 Er 3.52
6 Er 0.0000 0.0000 0.6029  4 Er 3.52, 8 Ho 3.52
7 Er 0.0000 0.0000 0.3971  4 Er 3.52, 8 Ho 3.52
8 Er 0.0000 0.0000 0.8089  4 Er 3.52, 8 Ho 3.53
9 Er 0.0000 0.0000 0.1911  4 Er 3.52, 8 Ho 3.53
10 In 0.0000 0.0000 0.0000  8 Ho 3.28, 4 In 3.52

What is the stability order? It is model ii, model i, from most stable to least stable.